(1)
NaLiHg2 | the Alexandria database | PBE | optimized geometry; final energy = -0.986 eV per atom; ΔE to the lowest computed polymorph = 0.2788 eV per atom; D(E_F) = 0.3624 states/eV per atom; ΔH_f (0 K) = -27 meV/atom
1.0
5.647 -1.800 -2.873
-1.766 5.658 2.873
-3.922 0.065 5.291
Hg Li Na
2 1 1
Cartesian
-4.391 4.418 6.304
-1.296 1.304 1.861
0.000 0.000 0.000
-2.844 2.861 4.082

(2)
LiMnRuPt | the Alexandria database | PBE | optimized geometry; final energy = -6.770 eV per atom; D(E_F) = 0.5608 states/eV per atom; ΔH_f (0 K) = -170 meV/atom
1.0
4.192 0.000 0.000
2.096 3.631 0.000
2.096 1.210 3.423
Mn Li Pt Ru
1 1 1 1
Cartesian
0.000 0.000 0.000
4.192 2.421 1.712
6.289 3.631 2.567
2.096 1.210 0.856

(3)
ZrTiSiW2 | the Alexandria database | PBE | optimized geometry; final energy = -8.362 eV per atom; D(E_F) = 0.8472 states/eV per atom
1.0
-3.565 -1.122 -2.701
-0.681 -3.800 2.478
-2.843 2.327 2.786
Ti Zr W Si
1 1 2 1
Cartesian
0.000 0.000 0.000
-3.545 -1.297 1.282
-1.422 1.164 1.393
-1.782 -0.561 -1.350
-0.341 -1.900 1.239

(4)
MgScPCl2 | the Alexandria database | PBE | optimized geometry; final energy = -4.324 eV per atom; ΔE to the lowest computed polymorph = 0.0000 eV per atom; D(E_F) = 0.1338 states/eV per atom
1.0
-4.432 -1.746 0.744
-0.468 -0.827 -4.727
2.049 -4.920 0.658
Cl Mg P Sc
2 1 1 1
Cartesian
-0.234 -0.413 -2.363
-2.216 -0.873 0.372
-1.426 -3.747 -1.662
1.024 -2.460 0.329
0.000 0.000 0.000

(5)
Ni6AsH4 | the Alexandria database | PBE | optimized geometry; final energy = -4.834 eV per atom; D(E_F) = 0.5260 states/eV per atom
1.0
2.800 0.000 0.000
-1.400 4.558 0.000
0.000 0.000 14.039
H Ni As
8 12 2
Cartesian
0.000 3.717 1.542
1.400 3.248 7.553
1.400 3.248 13.505
0.000 1.310 6.486
1.400 0.841 12.497
1.400 0.841 8.561
0.000 3.717 5.478
0.000 1.310 0.534
0.000 2.028 12.886
0.000 0.443 2.035
0.000 2.028 8.172
0.000 3.473 3.510
1.400 2.530 5.867
1.400 2.530 1.153
1.400 4.115 9.054
1.400 0.000 7.019
1.400 4.115 12.004
1.400 0.000 0.000
0.000 0.443 4.985
1.400 1.085 10.529
1.400 1.610 3.510
0.000 2.948 10.529

(6)
Tb6Nd2Er3 | the Alexandria database | PBE | optimized geometry; final energy = -4.458 eV per atom; ΔE to the lowest computed polymorph = 0.0000 eV per atom; D(E_F) = 1.6031 states/eV per atom; ΔH_f (0 K) = 179 meV/atom
1.0
5.859 0.000 1.755
2.930 5.306 0.877
-1.323 0.000 11.633
Er Tb Nd
3 6 2
Cartesian
0.000 0.000 0.000
2.930 1.754 0.877
5.859 3.551 1.755
4.074 1.769 4.182
7.004 3.536 5.059
3.391 3.536 10.084
3.393 0.000 10.084
1.143 0.000 3.304
0.462 1.769 9.206
5.198 1.768 7.571
2.268 3.538 6.694

(7)
Li2Cd3Hg | the Alexandria database | PBE | optimized geometry; final energy = -1.334 eV per atom; ΔE to the lowest computed polymorph = 0.0139 eV per atom; D(E_F) = 0.3557 states/eV per atom; ΔH_f (0 K) = -189 meV/atom
1.0
-1.099 2.845 0.418
-3.723 -1.009 -2.924
-4.570 -2.759 6.769
Cd Li Hg
3 2 1
Cartesian
-1.292 0.974 1.309
-5.458 -0.922 3.260
-4.361 -0.879 5.855
-2.266 -1.368 3.357
-1.877 -0.514 -1.439
-3.952 -0.012 1.029

(8)
BeTe2WCl | the Alexandria database | PBE | optimized geometry; final energy = -4.456 eV per atom; D(E_F) = 0.7546 states/eV per atom
1.0
-5.064 0.632 0.890
-0.640 -4.638 -0.348
0.832 -0.497 5.089
W Te Be Cl
1 2 1 1
Cartesian
0.000 0.000 0.000
-2.532 0.316 0.445
0.416 -0.249 2.544
-0.320 -2.319 -0.174
-2.436 -2.252 2.815

Copy entry 5 word for word.
Ni6AsH4 | the Alexandria database | PBE | optimized geometry; final energy = -4.834 eV per atom; D(E_F) = 0.5260 states/eV per atom
1.0
2.800 0.000 0.000
-1.400 4.558 0.000
0.000 0.000 14.039
H Ni As
8 12 2
Cartesian
0.000 3.717 1.542
1.400 3.248 7.553
1.400 3.248 13.505
0.000 1.310 6.486
1.400 0.841 12.497
1.400 0.841 8.561
0.000 3.717 5.478
0.000 1.310 0.534
0.000 2.028 12.886
0.000 0.443 2.035
0.000 2.028 8.172
0.000 3.473 3.510
1.400 2.530 5.867
1.400 2.530 1.153
1.400 4.115 9.054
1.400 0.000 7.019
1.400 4.115 12.004
1.400 0.000 0.000
0.000 0.443 4.985
1.400 1.085 10.529
1.400 1.610 3.510
0.000 2.948 10.529

final energy of number 7 (Li2Cd3Hg)?
-1.334 eV per atom